[1]
Here is Cs2HoMnS4 after structural relaxation from Alexandria via LeMat-Bulk. Energies are from PBE.

a b c (Å): 14.698 13.049 8.121
angles (deg): 84.53 62.10 33.37
Element x y z (fractional)
Cs1 0.056 0.056 0.694
Cs2 0.306 0.306 0.944
Cs3 0.694 0.694 0.056
Cs4 0.944 0.944 0.306
Ho1 0.125 0.125 0.125
Ho2 0.875 0.875 0.875
Mn1 0.375 0.375 0.375
Mn2 0.625 0.625 0.625
S1 0.015 0.649 0.539
S2 0.298 0.539 0.649
S3 0.351 0.985 0.702
S4 0.461 0.702 0.985
S5 0.539 0.298 0.015
S6 0.649 0.015 0.298
S7 0.702 0.461 0.351
S8 0.985 0.351 0.461

Output
**Energy relative to the elements, uncorrected**: -1204 meV per atom
**E**: -5.199 eV/atom
**N(E_F)**: 0.86 states/eV/f.u.

=====

[2]
Here is B4C after structural relaxation from Alexandria via LeMat-Bulk. Energies are from PBE.

a b c (Å): 2.817 3.064 4.795
angles (deg): 94.88 91.08 110.05
Element x y z (fractional)
B1 0.000 0.000 0.000
B2 0.087 0.106 0.355
B3 0.269 0.632 0.551
B4 0.611 0.233 0.567
C1 0.482 0.956 0.849

Output
**E_form**: 0.3923 eV/atom
**E**: -6.794 eV/atom
**Polymorph energy (0 for the lowest one)**: 0.494 eV/atom
**N(E_F)**: 1.05 states/eV/f.u.

=====

[3]
Here is Pu6GeIr2 after structural relaxation from Alexandria via LeMat-Bulk. Energies are from PBE.

a b c (Å): 6.798 6.665 10.085
angles (deg): 90.00 128.15 90.00
Element x y z (fractional)
Pu1 0.036 0.097 0.228
Pu2 0.036 0.403 0.728
Pu3 0.194 0.201 0.588
Pu4 0.194 0.299 0.088
Pu5 0.201 0.715 0.701
Pu6 0.201 0.785 0.201
Pu7 0.799 0.215 0.799
Pu8 0.799 0.285 0.299
Pu9 0.806 0.701 0.912
Pu10 0.806 0.799 0.412
Pu11 0.964 0.597 0.272
Pu12 0.964 0.903 0.772
Ge1 0.500 0.000 0.000
Ge2 0.500 0.500 0.500
Ir1 0.415 0.628 0.067
Ir2 0.415 0.872 0.567
Ir3 0.585 0.128 0.433
Ir4 0.585 0.372 0.933

Output
**E_form**: -0.1411 eV/atom
**E**: -12.178 eV/atom
**N(E_F)**: 20.43 states/eV/f.u.

=====

Copy entry 3 word for word.
Here is Pu6GeIr2 after structural relaxation from Alexandria via LeMat-Bulk. Energies are from PBE.

a b c (Å): 6.798 6.665 10.085
angles (deg): 90.00 128.15 90.00
Element x y z (fractional)
Pu1 0.036 0.097 0.228
Pu2 0.036 0.403 0.728
Pu3 0.194 0.201 0.588
Pu4 0.194 0.299 0.088
Pu5 0.201 0.715 0.701
Pu6 0.201 0.785 0.201
Pu7 0.799 0.215 0.799
Pu8 0.799 0.285 0.299
Pu9 0.806 0.701 0.912
Pu10 0.806 0.799 0.412
Pu11 0.964 0.597 0.272
Pu12 0.964 0.903 0.772
Ge1 0.500 0.000 0.000
Ge2 0.500 0.500 0.500
Ir1 0.415 0.628 0.067
Ir2 0.415 0.872 0.567
Ir3 0.585 0.128 0.433
Ir4 0.585 0.372 0.933

Output
**E_form**: -0.1411 eV/atom
**E**: -12.178 eV/atom
**N(E_F)**: 20.43 states/eV/f.u.